## Si2Mo2F (GGA+U)

Data for a geometry-optimized Si2Mo2F structure.

abc: 6.7246 6.7246 3.3641
angles: 90.00 90.00 90.00
Closest atoms and distances in Å follow each position.
Space group P4/mbm (No. 127)
Unique sites:
1 Si 0.1299 0.3701 0.0000  1 Si 2.47, 6 Mo 2.58-2.60
2 Mo 0.1639 0.6639 0.5000  2 F 2.51, 6 Si 2.58-2.60
3 F 0.0000 0.0000 0.5000  4 Mo 2.51

## Properties
Uncorrected energy   -5.3242 eV per atom
Excess energy over the best structure of this formula in the dataset   0 meV per atom
DOS(E_F)   0.309 states/eV per atom